Density functional theory data (GGA-PBE) for a relaxed CdRhPb crystal.

Values from the calculation:
E_form in eV per atom: -0.06

Unit cell a=4.7065 b=5.6507 c=5.6507 alpha=113.48 beta=90.00 gamma=90.00
Element x y z (fractional)
Cd1 0.0000 0.1684 0.8316
Cd2 0.5000 0.3915 0.6085
Rh1 0.0000 0.6667 0.8400
Rh2 0.0000 0.1600 0.3333
Pb1 0.5000 0.9200 0.0800
Pb2 0.0000 0.6550 0.3450